A relaxed structure of CaSc2Os2, computed with GGA-PBE.

The magnetization is 0.0 μB per cell. For the formation energy, the calculation gives -0.073 eV per atom. The calculated volume is 195.6 Å³/cell.

```
CaSc2Os2
1.0
7.9144 0.0000 0.0000
0.0000 7.9144 0.0000
0.0000 0.0000 3.1232
Ca Sc Os
2 4 4
Direct
0.0000 0.0000 0.0000
0.5000 0.5000 0.0000
0.1401 0.3599 0.5000
0.3599 0.8599 0.5000
0.6401 0.1401 0.5000
0.8599 0.6401 0.5000
0.1536 0.6536 0.0000
0.3464 0.1536 0.0000
0.6536 0.8464 0.0000
0.8464 0.3464 0.0000
```

=====

A relaxed structure of AgSn2P, computed with GGA-PBE.

The magnetization is 0.0 μB per cell. For the formation energy, the calculation gives 0.150 eV per atom. The calculated volume is 232.1 Å³/cell.

```
AgSn2P
1.0
-3.2320 3.2320 5.5549
3.2320 -3.2320 5.5549
3.2320 3.2320 -5.5549
Ag Sn P
2 4 2
Direct
0.0000 0.0000 0.0000
0.7500 0.2500 0.5000
0.1396 0.6250 0.0146
0.3750 0.3896 0.5146
0.6104 0.1250 0.9854
0.8750 0.8604 0.4854
0.2500 0.7500 0.5000
0.5000 0.5000 0.0000
```

=====

A relaxed structure of MnTeRu2Br, computed with GGA-PBE.

The magnetization is 0.4 μB per cell. The value obtained for the raw formation energy is 1.675 eV per atom. The calculated volume is 115.3 Å³/cell.

```
MnTeRu2Br
1.0
4.9225 0.0000 0.0000
0.0000 4.9225 0.0000
0.0000 0.0000 4.7575
Mn Te Ru Br
1 1 2 1
Direct
0.0000 0.0000 0.0000
0.0000 0.0000 0.5000
0.0000 0.5000 0.5000
0.5000 0.0000 0.5000
0.5000 0.5000 0.0000
```

=====

A relaxed structure of Cs2Rb4S, computed with GGA-PBE.

The magnetization is 0.0 μB per cell. The value obtained for the raw formation energy is -0.379 eV per atom. The calculated volume is 593.7 Å³/cell.

```
Cs2Rb4S
1.0
4.5955 -12.8208 0.0000
4.5955 12.8208 0.0000
0.0000 0.0000 5.0381
Cs Rb S
2 4 1
Direct
0.1916 0.8084 0.0000
0.8084 0.1916 0.0000
0.2750 0.2750 0.0000
0.3750 0.6250 0.5000
0.6250 0.3750 0.5000
0.7250 0.7250 0.0000
0.5000 0.5000 0.5000
```

=====

A relaxed structure of La2NbCN, computed with GGA-PBE.

The magnetization is 0.0 μB per cell. The value obtained for the raw formation energy is 0.507 eV per atom. The calculated volume is 108.7 Å³/cell.

```
La2NbCN
1.0
5.1485 0.0000 0.0000
0.0000 5.1485 0.0000
0.0000 0.0000 4.1006
La Nb C N
2 1 1 1
Direct
0.0000 0.5000 0.0000
0.5000 0.0000 0.0000
0.0000 0.0000 0.5000
0.0000 0.0000 0.0000
0.5000 0.5000 0.5000
```

=====

A relaxed structure of Tb2SmPd9, computed with GGA-PBE.

The magnetization is 0.0 μB per cell. For the formation energy, the calculation gives -0.842 eV per atom. The calculated volume is 213.9 Å³/cell.

```
Tb2SmPd9
1.0
4.1489 0.0000 0.0000
0.0000 4.1489 0.0000
0.0000 0.0000 12.4283
Tb Sm Pd
2 1 9
Direct
0.0000 0.0000 0.1651
0.0000 0.0000 0.8349
0.0000 0.0000 0.5000
0.0000 0.5000 0.0000
0.0000 0.5000 0.3307
0.0000 0.5000 0.6693
0.5000 0.0000 0.0000
0.5000 0.0000 0.3307
0.5000 0.0000 0.6693
0.5000 0.5000 0.1659
0.5000 0.5000 0.5000
0.5000 0.5000 0.8341
```

=====

Number 1: calculated total energy -7.50 eV/atom, mass density 8.7 Mg/m³. Number 2: calculated total energy -3.92 eV/atom, mass density 5.4 Mg/m³. Number 3: calculated total energy -4.83 eV/atom, mass density 6.7 Mg/m³. Number 4: calculated total energy -1.76 eV/atom, mass density 1.8 Mg/m³. Number 5: calculated total energy -6.99 eV/atom, mass density 6.1 Mg/m³. Number 6: calculated total energy -5.90 eV/atom, mass density 11.1 Mg/m³.